[1]
VASP calculation (PBE-GGA) on an optimized crystal structure of SiTc2Sb.

Distance to the lowest polymorph of the same formula, meV/atom: 337
Density of states at the Fermi level, states/eV per atom: 0.764
Uncorrected formation energy, eV/atom: 0.26
Density, g cm⁻³: 8.727

a = 3.029 Å, b = 3.029 Å, c = 7.870 Å
α = 90.00°, β = 90.00°, γ = 114.25°
Atoms (fractional coordinates):
1 Sb 0.500 0.500 0.250
2 Tc 0.000 0.000 0.970
3 Tc 0.000 0.000 0.530
4 Si 0.500 0.500 0.750

=====

[2]
VASP calculation (PBE-GGA) on an optimized crystal structure of SiTc2Sb.

Distance to the lowest polymorph of the same formula, meV/atom: 156
Density of states at the Fermi level, states/eV per atom: 0.546
Uncorrected formation energy, eV/atom: 0.08
Density, g cm⁻³: 8.298

a = 2.960 Å, b = 2.960 Å, c = 7.896 Å
α = 90.00°, β = 90.00°, γ = 90.00°
Atoms (fractional coordinates):
1 Si 0.500 0.500 0.814
2 Tc 0.500 0.500 0.213
3 Tc 0.000 0.000 0.006
4 Sb 0.000 0.000 0.468

=====

[3]
VASP calculation (PBE-GGA) on an optimized crystal structure of SiTc2Sb.

Distance to the lowest polymorph of the same formula, meV/atom: 409
Density of states at the Fermi level, states/eV per atom: 0.993
Uncorrected formation energy, eV/atom: 0.33
Density, g cm⁻³: 8.769

a = 3.185 Å, b = 5.065 Å, c = 4.060 Å
α = 90.00°, β = 90.00°, γ = 90.00°
Atoms (fractional coordinates):
1 Tc 0.000 0.000 0.000
2 Sb 0.500 0.000 0.500
3 Si 0.000 0.500 0.500
4 Tc 0.500 0.500 0.000

=====

[4]
VASP calculation (PBE-GGA) on an optimized crystal structure of SiTc2Sb.

Distance to the lowest polymorph of the same formula, meV/atom: 51
Density of states at the Fermi level, states/eV per atom: 0.756
Uncorrected formation energy, eV/atom: -0.03
Density, g cm⁻³: 9.356

a = 4.418 Å, b = 4.418 Å, c = 3.145 Å
α = 90.00°, β = 90.00°, γ = 90.00°
Atoms (fractional coordinates):
1 Tc 0.000 0.000 0.000
2 Sb 0.500 0.000 0.500
3 Tc 0.500 0.500 0.000
4 Si 0.000 0.500 0.500

=====

- Which of these has the lowest distance to the lowest polymorph of the same formula?
  number 4